(1)
# CaRh2Cl

Crystalline CaRh2Cl at its relaxed geometry (PBE-GGA, Alexandria).

For the uncorrected formation energy, the calculation gives -0.46 eV per atom. The calculated density comes out at 5.43 g/cm3. Its offset from the most stable computed form is 0 meV per atom.

The space group is P4mm (No. 99) and the conventional cell measures 3.401, 3.401 and 7.446 Å, with angles of 90.00, 90.00 and 90.00 degrees. The inequivalent atoms are Ca at (0.000, 0.000, 0.000), Rh at (0.000, 0.000, 0.606), Rh at (0.500, 0.500, 0.718) and Cl at (0.500, 0.500, 0.195).

(2)
# CaRhCl3

Crystalline CaRhCl3 at its relaxed geometry (PBE-GGA, Alexandria).

For the uncorrected formation energy, the calculation gives -0.95 eV per atom. The calculated density comes out at 3.62 g/cm3. Its offset from the most stable computed form is 0 meV per atom.

The space group is Pm-3m (No. 221) and the conventional cell measures 4.854, 4.854 and 4.854 Å, with angles of 90.00, 90.00 and 90.00 degrees. The inequivalent atoms are Ca at (0.000, 0.000, 0.000), Rh at (0.500, 0.500, 0.500) and Cl at (0.000, 0.500, 0.500).

(3)
# Ca3RhCl

Crystalline Ca3RhCl at its relaxed geometry (PBE-GGA, Alexandria).

For the uncorrected formation energy, the calculation gives -0.56 eV per atom. The calculated density comes out at 2.58 g/cm3. Its offset from the most stable computed form is 0 meV per atom.

The space group is Pm-3m (No. 221) and the conventional cell measures 5.498, 5.498 and 5.498 Å, with angles of 90.00, 90.00 and 90.00 degrees. The inequivalent atoms are Ca at (0.000, 0.000, 0.500), Rh at (0.000, 0.000, 0.000) and Cl at (0.500, 0.500, 0.500).

(4)
# CaRhCl4

Crystalline CaRhCl4 at its relaxed geometry (PBE-GGA, Alexandria).

For the uncorrected formation energy, the calculation gives 0.13 eV per atom. The calculated density comes out at 3.28 g/cm3.

The space group is F-43m (No. 216) and the conventional cell measures 8.320, 8.320 and 8.320 Å, with angles of 90.00, 90.00 and 90.00 degrees. The inequivalent atoms are Ca at (0.000, 0.000, 0.000), Rh at (0.250, 0.250, 0.250) and Cl at (0.125, 0.125, 0.625).